Entry from Alexandria via LeMat-Bulk: a geometry-optimized CdPb2ClF structure (PBE).

Values from the calculation:
formation energy without anion corrections	-0.579	eV/atom
space group	P4/mmm, No. 123
E_tot	-2.9888	eV per atom
magnetization	0.00	μB/cell

a b c (Å): 5.042 5.042 5.853
angles (deg): 90.00 90.00 90.00
Fractional positions:
Cd  0.000  0.000  0.000
Pb  0.000  0.500  0.500
Pb  0.500  0.000  0.500
Cl  0.500  0.500  0.000
F  0.500  0.500  0.500

=====

Entry from Alexandria via LeMat-Bulk: a geometry-optimized Hg2TePd2 structure (PBE).

Values from the calculation:
formation energy without anion corrections	-0.086	eV/atom
space group	P4/mbm, No. 127
E_tot	-2.9118	eV per atom
relative energy among the computed polymorphs	18	meV/atom
magnetization	0.00	μB/cell

a b c (Å): 7.348 7.348 3.828
angles (deg): 90.00 90.00 90.00
Fractional positions:
Hg  0.150  0.350  0.000
Hg  0.350  0.850  0.000
Hg  0.650  0.150  0.000
Hg  0.850  0.650  0.000
Te  0.000  0.000  0.500
Te  0.500  0.500  0.500
Pd  0.148  0.648  0.500
Pd  0.352  0.148  0.500
Pd  0.648  0.852  0.500
Pd  0.852  0.352  0.500

=====

Entry from Alexandria via LeMat-Bulk: a geometry-optimized La2P2Pt structure (PBE).

Values from the calculation:
space group	P4/mbm, No. 127
E_tot	-6.4479	eV per atom
magnetization	0.00	μB/cell
DFT formation energy	-1.10	eV/atom

a b c (Å): 7.422 7.422 4.073
angles (deg): 90.00 90.00 90.00
Fractional positions:
La  0.152  0.348  0.000
La  0.348  0.848  0.000
La  0.652  0.152  0.000
La  0.848  0.652  0.000
P  0.163  0.663  0.500
P  0.337  0.163  0.500
P  0.663  0.837  0.500
P  0.837  0.337  0.500
Pt  0.000  0.000  0.500
Pt  0.500  0.500  0.500

=====

Entry from Alexandria via LeMat-Bulk: a geometry-optimized Rb2Tl2Te structure (PBE).

Values from the calculation:
formation energy without anion corrections	-0.307	eV/atom
space group	P4/mbm, No. 127
E_tot	-2.2685	eV per atom
relative energy among the computed polymorphs	0	meV/atom
magnetization	0.00	μB/cell

a b c (Å): 8.535 8.535 5.905
angles (deg): 90.00 90.00 90.00
Fractional positions:
Rb  0.189  0.311  0.000
Rb  0.311  0.811  0.000
Rb  0.689  0.189  0.000
Rb  0.811  0.689  0.000
Tl  0.127  0.627  0.500
Tl  0.373  0.127  0.500
Tl  0.627  0.873  0.500
Tl  0.873  0.373  0.500
Te  0.000  0.000  0.500
Te  0.500  0.500  0.500

=====

Entry from Alexandria via LeMat-Bulk: a geometry-optimized NbFe structure (PBE).

Values from the calculation:
space group	Fddd, No. 70
E_tot	-9.0200	eV per atom
magnetization	0.00	μB/cell
DFT formation energy	0.25	eV/atom

a b c (Å): 6.228 5.760 5.062
angles (deg): 69.92 60.31 49.77
Fractional positions:
Nb  0.072  0.678  0.072
Nb  0.322  0.928  0.322
Nb  0.678  0.072  0.678
Nb  0.928  0.322  0.928
Fe  0.188  0.562  0.562
Fe  0.438  0.812  0.812
Fe  0.562  0.188  0.188
Fe  0.812  0.438  0.438

=====

Entry from Alexandria via LeMat-Bulk: a geometry-optimized Nd2Dy3ThBi6 structure (PBE).

Values from the calculation:
space group	C2/m, No. 12
E_tot	-5.3538	eV per atom
magnetization	0.00	μB/cell
DFT formation energy	-0.85	eV/atom

a b c (Å): 10.138 10.138 9.080
angles (deg): 102.70 102.70 25.92
Fractional positions:
Nd  0.168  0.168  0.335
Nd  0.832  0.832  0.665
Dy  0.168  0.168  0.832
Dy  0.500  0.500  0.500
Dy  0.832  0.832  0.168
Th  0.500  0.500  0.000
Bi  0.002  0.002  0.746
Bi  0.332  0.332  0.922
Bi  0.336  0.336  0.412
Bi  0.664  0.664  0.588
Bi  0.668  0.668  0.078
Bi  0.998  0.998  0.254

=====

Entry from Alexandria via LeMat-Bulk: a geometry-optimized MnTlTeN2 structure (PBE).

Values from the calculation:
formation energy without anion corrections	0.883	eV/atom
space group	P4/mmm, No. 123
E_tot	-5.3830	eV per atom
relative energy among the computed polymorphs	0	meV/atom
magnetization	0.08	μB/cell

a b c (Å): 3.910 3.910 5.465
angles (deg): 90.00 90.00 90.00
Fractional positions:
Mn  0.000  0.000  0.000
Tl  0.500  0.500  0.500
Te  0.000  0.000  0.500
N  0.000  0.500  0.000
N  0.500  0.000  0.000

=====

Entry from Alexandria via LeMat-Bulk: a geometry-optimized Mo2PbCl structure (PBE).

Values from the calculation:
formation energy without anion corrections	0.858	eV/atom
space group	Cmmm, No. 65
E_tot	-5.9460	eV per atom
relative energy among the computed polymorphs	792	meV/atom
magnetization	2.24	μB/cell

a b c (Å): 3.192 3.192 9.088
angles (deg): 90.00 90.00 123.90
Fractional positions:
Mo  0.000  0.000  0.232
Mo  0.000  0.000  0.768
Pb  0.500  0.500  0.500
Cl  0.500  0.500  0.000

=====

Entry from Alexandria via LeMat-Bulk: a geometry-optimized PuAgAuF6 structure (PBE).

Values from the calculation:
formation energy without anion corrections	-2.149	eV/atom
space group	P-31c, No. 163
E_tot	-5.6699	eV per atom
magnetization	8.00	μB/cell

a b c (Å): 6.223 6.223 9.685
angles (deg): 90.00 90.00 120.00
Fractional positions:
Pu  0.333  0.667  0.250
Pu  0.667  0.333  0.750
Ag  0.333  0.667  0.750
Ag  0.667  0.333  0.250
Au  0.000  0.000  0.000
Au  0.000  0.000  0.500
F  0.041  0.371  0.128
F  0.041  0.670  0.372
F  0.330  0.371  0.372
F  0.330  0.959  0.128
F  0.371  0.041  0.628
F  0.371  0.330  0.872
F  0.629  0.670  0.128
F  0.629  0.959  0.372
F  0.670  0.041  0.872
F  0.670  0.629  0.628
F  0.959  0.330  0.628
F  0.959  0.629  0.872

=====

Entry from Alexandria via LeMat-Bulk: a geometry-optimized CePuAs structure (PBE).

Values from the calculation:
space group	P3m1, No. 156
E_tot	-8.9121	eV per atom
magnetization	5.93	μB/cell
DFT formation energy	-0.61	eV/atom

a b c (Å): 3.839 3.839 5.508
angles (deg): 90.00 90.00 120.00
Fractional positions:
Ce  0.000  0.000  0.000
Pu  0.667  0.333  0.667
As  0.333  0.667  0.345

=====

Entry from Alexandria via LeMat-Bulk: a geometry-optimized CoPbCl2 structure (PBE).

Values from the calculation:
formation energy without anion corrections	0.305	eV/atom
space group	F-43m, No. 216
E_tot	-3.3218	eV per atom
relative energy among the computed polymorphs	702	meV/atom
magnetization	2.73	μB/cell

a b c (Å): 5.040 5.040 5.040
angles (deg): 60.00 60.00 60.00
Fractional positions:
Co  0.000  0.000  0.000
Pb  0.250  0.250  0.250
Cl  0.500  0.500  0.500
Cl  0.750  0.750  0.750

=====

Entry from Alexandria via LeMat-Bulk: a geometry-optimized TeRhSe2 structure (PBE).

Values from the calculation:
formation energy without anion corrections	0.411	eV/atom
space group	P4/mmm, No. 123
E_tot	-3.9543	eV per atom
magnetization	0.00	μB/cell

a b c (Å): 4.797 4.797 3.420
angles (deg): 90.00 90.00 90.00
Fractional positions:
Te  0.000  0.000  0.000
Rh  0.500  0.500  0.000
Se  0.000  0.500  0.500
Se  0.500  0.000  0.500